! RbNaPO3, relaxed, DFT PBE; values from VASP
&SYSTEM
  ibrav = 0, nat = 12, ntyp = 4
/
ATOMIC_SPECIES
Rb 85.47 Rb.upf
Na 22.99 Na.upf
P 30.97 P.upf
O 16.00 O.upf
CELL_PARAMETERS angstrom
6.022 0.000 0.000
-3.011 5.215 0.000
0.000 0.000 7.156
ATOMIC_POSITIONS crystal
Rb 0.333 0.667 0.250
Rb 0.667 0.333 0.750
Na 0.000 0.000 0.000
Na 0.000 0.000 0.500
P 0.333 0.667 0.750
P 0.667 0.333 0.250
O 0.186 0.372 0.750
O 0.186 0.814 0.750
O 0.372 0.186 0.250
O 0.628 0.814 0.750
O 0.814 0.186 0.250
O 0.814 0.628 0.250
! Calculated total energy in eV per atom: -5.499
! ΔE_f (raw) in eV per formula unit: -10.4